TlHg3Pb5 | Alexandria via LeMat-Bulk | GGA-PBE | optimized geometry; DOS at the Fermi energy = 7.65 states/eV/cell; total magnetization = 0.00 μB/atom; energy relative to the elements = 30.0 meV per atom; calculated density = 11.5 Mg/m³
1.0
9.611 0.000 0.000
-4.806 8.323 0.000
0.000 0.000 6.633
Tl Hg Pb
2 6 10
Cartesian
0.000 0.000 0.000 Tl
0.000 0.000 3.317 Tl
-1.617 2.800 1.658 Hg
-3.189 5.524 4.975 Hg
3.233 0.000 1.658 Hg
1.617 2.800 4.975 Hg
6.378 0.000 4.975 Hg
3.189 5.524 1.658 Hg
-1.601 2.774 4.975 Pb
-3.204 5.550 1.658 Pb
3.203 0.000 4.975 Pb
1.601 2.774 1.658 Pb
0.000 5.549 0.000 Pb
0.000 5.549 3.317 Pb
6.408 0.000 1.658 Pb
4.806 2.774 0.000 Pb
4.806 2.774 3.317 Pb
3.204 5.550 4.975 Pb